# MoWF2

A relaxed structure of MoWF2 (PBE+U, Alexandria via LeMat-Bulk).

Unit cell a=4.451 b=4.451 c=4.451 alpha=60.00 beta=60.00 gamma=60.00
Fractional coordinates of all 4 atoms:
Mo: 0.000 0.000 0.000
W: 0.500 0.500 0.500
F: 0.250 0.250 0.250
F: 0.750 0.750 0.750

Total DFT energy (no corrections), eV per formula unit: -17.02
Theoretical density, Mg/m³: 8.460
Space group: Fm-3m (225)
Distance to the lowest polymorph of the same formula, meV/atom: 492